Entry 1:
DFT (GGA-PBE) results for crystalline SrAlGa2Ag4 at its relaxed geometry.

Calculated values
calculated density	6793	kg/m³
calculated formation energy	-3.3	kcal/mol of atoms

Cell lengths 9.7496, 9.7496, 9.7496 Å; angles 26.92, 26.92, 26.92 degrees
With the nearest neighbours (Å) after each atom.
Fractional positions:
Sr 0.0000 0.0000 0.0000  6 Ag 3.36, 6 Ga 3.53
Al 0.5000 0.5000 0.5000  8 Ag 2.60-2.75
Ga 0.2494 0.2494 0.2494  3 Ag 2.63
Ga 0.7506 0.7506 0.7506  3 Ag 2.63
Ag 0.1376 0.1376 0.1376  3 Al 2.75, 3 Ga 3.03
Ag 0.4078 0.4078 0.4078  1 Al 2.60, 3 Ga 2.63
Ag 0.5922 0.5922 0.5922  1 Al 2.60, 3 Ga 2.63
Ag 0.8624 0.8624 0.8624  3 Al 2.75, 3 Ga 3.03



Entry 2:
DFT (GGA-PBE) results for crystalline Sr2Al4Ga3Ag at its relaxed geometry.

Calculated values
calculated density	4610	kg/m³
calculated formation energy	-8.0	kcal/mol of atoms

Cell lengths 4.3938, 4.3938, 11.1979 Å; angles 90.00, 90.00, 90.00 degrees
With the nearest neighbours (Å) after each atom.
Fractional positions:
Sr 0.0000 0.5000 0.2494  6 Ga 3.35-3.56, 8 Al 3.38-3.55, 2 Ag 3.56
Sr 0.5000 0.0000 0.7506  6 Ga 3.35-3.56, 8 Al 3.38-3.55, 2 Ag 3.56
Al 0.0000 0.0000 0.0000  4 Ga 2.68
Al 0.0000 0.5000 0.6316  3 Ga 2.59-2.65, 2 Ag 2.65
Al 0.5000 0.0000 0.3684  3 Ga 2.59-2.65, 2 Ag 2.65
Al 0.5000 0.5000 0.0000  4 Ga 2.68
Ga 0.0000 0.5000 0.8629  5 Al 2.59-2.68
Ga 0.5000 0.0000 0.1371  5 Al 2.59-2.68
Ga 0.5000 0.5000 0.5000  4 Al 2.65
Ag 0.0000 0.0000 0.5000  4 Al 2.65



Entry 3:
DFT (GGA-PBE) results for crystalline Sr2Al3Ga4Ag at its relaxed geometry.

Calculated values
calculated density	4904	kg/m³
calculated formation energy	-8.1	kcal/mol of atoms

Cell lengths 4.4278, 4.4278, 11.1041 Å; angles 90.00, 90.00, 90.00 degrees
With the nearest neighbours (Å) after each atom.
Fractional positions:
Sr 0.0000 0.5000 0.2476  6 Al 3.38-3.57, 8 Ga 3.39-3.53, 2 Ag 3.57
Sr 0.5000 0.0000 0.7524  6 Al 3.38-3.57, 8 Ga 3.39-3.53, 2 Ag 3.57
Al 0.0000 0.5000 0.8673  5 Ga 2.57-2.66
Al 0.5000 0.0000 0.1327  5 Ga 2.57-2.66
Al 0.5000 0.5000 0.5000  4 Ga 2.68
Ga 0.0000 0.0000 0.0000  4 Al 2.66
Ga 0.0000 0.5000 0.6361  3 Al 2.57-2.68, 2 Ag 2.68
Ga 0.5000 0.0000 0.3639  3 Al 2.57-2.68, 2 Ag 2.68
Ga 0.5000 0.5000 0.0000  4 Al 2.66
Ag 0.0000 0.0000 0.5000  4 Ga 2.68



Entry 4:
DFT (GGA-PBE) results for crystalline SrAl2GaAg4 at its relaxed geometry.

Calculated values
calculated density	6362	kg/m³
calculated formation energy	-2.5	kcal/mol of atoms

Cell lengths 9.8988, 9.8988, 9.8988 Å; angles 26.30, 26.30, 26.30 degrees
With the nearest neighbours (Å) after each atom.
Fractional positions:
Sr 0.0000 0.0000 0.0000  6 Ag 3.35, 6 Al 3.64
Al 0.2443 0.2443 0.2443  6 Ag 2.64-2.90
Al 0.7557 0.7557 0.7557  6 Ag 2.64-2.90
Ga 0.5000 0.5000 0.5000  8 Ag 2.66-2.77
Ag 0.1335 0.1335 0.1335  3 Ga 2.77, 3 Al 2.90
Ag 0.4070 0.4070 0.4070  3 Al 2.64, 1 Ga 2.66
Ag 0.5930 0.5930 0.5930  3 Al 2.64, 1 Ga 2.66
Ag 0.8665 0.8665 0.8665  3 Ga 2.77, 3 Al 2.90



Entry 5:
DFT (GGA-PBE) results for crystalline Sr2AlGa3Ag4 at its relaxed geometry.

Calculated values
calculated density	6241	kg/m³
calculated formation energy	-6.7	kcal/mol of atoms

Cell lengths 4.4792, 4.4792, 11.1785 Å; angles 90.00, 90.00, 90.00 degrees
With the nearest neighbours (Å) after each atom.
Fractional positions:
Sr 0.0000 0.5000 0.2499  8 Ag 3.43-3.58, 6 Ga 3.44-3.58, 2 Al 3.58
Sr 0.5000 0.0000 0.7501  8 Ag 3.43-3.58, 6 Ga 3.44-3.58, 2 Al 3.58
Al 0.0000 0.0000 0.5000  4 Ag 2.69
Ga 0.0000 0.5000 0.8692  5 Ag 2.64-2.67
Ga 0.5000 0.0000 0.1308  5 Ag 2.64-2.67
Ga 0.5000 0.5000 0.5000  4 Ag 2.69
Ag 0.0000 0.0000 0.0000  4 Ga 2.67
Ag 0.0000 0.5000 0.6328  3 Ga 2.64-2.69, 2 Al 2.69
Ag 0.5000 0.0000 0.3672  3 Ga 2.64-2.69, 2 Al 2.69
Ag 0.5000 0.5000 0.0000  4 Ga 2.67



Entry 6:
DFT (GGA-PBE) results for crystalline Sr2Al4GaAg3 at its relaxed geometry.

Calculated values
calculated density	5077	kg/m³
calculated formation energy	-6.3	kcal/mol of atoms

Cell lengths 4.4430, 4.4430, 11.2095 Å; angles 90.00, 90.00, 90.00 degrees
With the nearest neighbours (Å) after each atom.
Fractional positions:
Sr 0.0000 0.5000 0.2489  8 Al 3.40-3.59, 6 Ag 3.41-3.57, 2 Ga 3.57
Sr 0.5000 0.0000 0.7511  8 Al 3.40-3.59, 6 Ag 3.41-3.57, 2 Ga 3.57
Al 0.0000 0.0000 0.5000  4 Ag 2.67
Al 0.0000 0.5000 0.8674  3 Ag 2.63-2.67, 2 Ga 2.67
Al 0.5000 0.0000 0.1326  3 Ag 2.63-2.67, 2 Ga 2.67
Al 0.5000 0.5000 0.5000  4 Ag 2.67
Ga 0.5000 0.5000 0.0000  4 Al 2.67
Ag 0.0000 0.0000 0.0000  4 Al 2.67
Ag 0.0000 0.5000 0.6326  5 Al 2.63-2.67
Ag 0.5000 0.0000 0.3674  5 Al 2.63-2.67



Entry 7:
DFT (GGA-PBE) results for crystalline Sr3Al2GaAg6 at its relaxed geometry.

Calculated values
calculated density	5387	kg/m³
calculated formation energy	-2.2	kcal/mol of atoms

Cell lengths 6.6169, 6.6169, 8.4034 Å; angles 90.00, 90.00, 120.00 degrees
With the nearest neighbours (Å) after each atom.
Fractional positions:
Sr 0.0000 0.0000 0.0000  6 Ag 3.57, 6 Al 3.90
Sr 0.3333 0.6667 0.7049  1 Al 3.27, 9 Ag 3.34-3.50
Sr 0.6667 0.3333 0.2951  1 Al 3.27, 9 Ag 3.34-3.50
Al 0.3333 0.6667 0.0937  3 Ag 2.64
Al 0.6667 0.3333 0.9063  3 Ag 2.64
Ga 0.0000 0.0000 0.5000  6 Ag 2.55
Ag 0.1883 0.3766 0.3383  1 Ga 2.55, 1 Al 2.64
Ag 0.1883 0.8117 0.3383  1 Ga 2.55, 1 Al 2.64
Ag 0.3766 0.1883 0.6617  1 Ga 2.55, 1 Al 2.64
Ag 0.6234 0.8117 0.3383  1 Ga 2.55, 1 Al 2.64
Ag 0.8117 0.1883 0.6617  1 Ga 2.55, 1 Al 2.64
Ag 0.8117 0.6234 0.6617  1 Ga 2.55, 1 Al 2.64



Entry 8:
DFT (GGA-PBE) results for crystalline TbAl2Ga2Ag at its relaxed geometry.

Calculated values
calculated density	6721	kg/m³
calculated formation energy	-7.3	kcal/mol of atoms

Cell lengths 4.4329, 4.4329, 6.6814 Å; angles 90.00, 90.00, 120.00 degrees
With the nearest neighbours (Å) after each atom.
Fractional positions:
Tb 0.0000 0.0000 0.0000  6 Ga 3.03, 6 Al 3.28, 2 Ag 3.34
Al 0.3333 0.6667 0.3077  3 Ga 2.60, 3 Ag 2.86
Al 0.6667 0.3333 0.6923  3 Ga 2.60, 3 Ag 2.86
Ga 0.3333 0.6667 0.7574  3 Al 2.60
Ga 0.6667 0.3333 0.2426  3 Al 2.60
Ag 0.0000 0.0000 0.5000  6 Al 2.86, 6 Ga 3.08



Entry 9:
DFT (GGA-PBE) results for crystalline TbAlGaAg at its relaxed geometry.

Calculated values
calculated density	7519	kg/m³
calculated formation energy	-7.6	kcal/mol of atoms

Cell lengths 4.8420, 4.8420, 4.8420 Å; angles 60.00, 60.00, 60.00 degrees
With the nearest neighbours (Å) after each atom.
Fractional positions:
Tb 0.0000 0.0000 0.0000  4 Ag 2.97, 4 Ga 2.97
Al 0.5000 0.5000 0.5000  4 Ag 2.97, 4 Ga 2.97
Ga 0.2500 0.2500 0.2500  4 Tb 2.97, 4 Al 2.97
Ag 0.7500 0.7500 0.7500  4 Tb 2.97, 4 Al 2.97



Entry 10:
DFT (GGA-PBE) results for crystalline Tb4AlGaAg2 at its relaxed geometry.

Calculated values
calculated density	8120	kg/m³
calculated formation energy	-9.2	kcal/mol of atoms

Cell lengths 8.9293, 8.9293, 8.9293 Å; angles 33.57, 33.57, 33.57 degrees
With the nearest neighbours (Å) after each atom.
Fractional positions:
Tb 0.1232 0.1232 0.1232  4 Ag 3.09-3.11, 1 Ga 3.11, 3 Al 3.17
Tb 0.3736 0.3736 0.3736  3 Ga 3.15, 1 Al 3.19, 4 Ag 3.21-3.23
Tb 0.6264 0.6264 0.6264  3 Ga 3.15, 1 Al 3.19, 4 Ag 3.21-3.23
Tb 0.8768 0.8768 0.8768  4 Ag 3.09-3.11, 1 Ga 3.11, 3 Al 3.17
Al 0.5000 0.5000 0.5000  8 Tb 3.17-3.19
Ga 0.0000 0.0000 0.0000  8 Tb 3.11-3.15
Ag 0.2455 0.2455 0.2455  8 Tb 3.09-3.23
Ag 0.7545 0.7545 0.7545  8 Tb 3.09-3.23



Entry 11:
DFT (GGA-PBE) results for crystalline TbAlGa2Ag at its relaxed geometry.

Calculated values
calculated density	7426	kg/m³
calculated formation energy	-10.3	kcal/mol of atoms

Cell lengths 6.3128, 6.3128, 6.3128 Å; angles 141.47, 141.47, 55.62 degrees
With the nearest neighbours (Å) after each atom.
Fractional positions:
Tb 0.0000 0.0000 0.0000  8 Ga 3.18, 4 Al 3.48, 4 Ag 3.48
Al 0.2500 0.7500 0.5000  4 Ga 2.62
Ga 0.3918 0.3918 0.0000  1 Ga 2.42, 2 Al 2.62, 2 Ag 2.62
Ga 0.6082 0.6082 0.0000  1 Ga 2.42, 2 Al 2.62, 2 Ag 2.62
Ag 0.7500 0.2500 0.5000  4 Ga 2.62



Entry 12:
DFT (GGA-PBE) results for crystalline AlGaTcAg2 at its relaxed geometry.

Calculated values
calculated density	6602	kg/m³
calculated formation energy	19.8	kcal/mol of atoms

Cell lengths 4.6705, 4.6705, 4.7327 Å; angles 90.00, 90.00, 90.00 degrees
With the nearest neighbours (Å) after each atom.
Fractional positions:
Al 0.0000 0.0000 0.0000  4 Tc 3.30, 8 Ag 3.32
Ga 0.5000 0.5000 0.5000  4 Ag 2.34, 2 Tc 2.37
Tc 0.5000 0.5000 0.0000  2 Ga 2.37
Ag 0.0000 0.5000 0.5000  2 Ga 2.34
Ag 0.5000 0.0000 0.5000  2 Ga 2.34



Entry 13:
DFT (GGA-PBE) results for crystalline Th2Al3Ga4Ag at its relaxed geometry.

Calculated values
calculated density	7677	kg/m³
calculated formation energy	-8.0	kcal/mol of atoms

Cell lengths 4.3043, 4.3043, 10.8778 Å; angles 90.00, 90.00, 90.00 degrees
With the nearest neighbours (Å) after each atom.
Fractional positions:
Th 0.0000 0.5000 0.2428  6 Al 3.27-3.53, 8 Ga 3.29-3.41, 2 Ag 3.53
Th 0.5000 0.0000 0.7572  6 Al 3.27-3.53, 8 Ga 3.29-3.41, 2 Ag 3.53
Al 0.0000 0.5000 0.8663  5 Ga 2.45-2.60
Al 0.5000 0.0000 0.1337  5 Ga 2.45-2.60
Al 0.5000 0.5000 0.5000  4 Ga 2.64
Ga 0.0000 0.0000 0.0000  4 Al 2.60
Ga 0.0000 0.5000 0.6412  3 Al 2.45-2.64, 2 Ag 2.64
Ga 0.5000 0.0000 0.3588  3 Al 2.45-2.64, 2 Ag 2.64
Ga 0.5000 0.5000 0.0000  4 Al 2.60
Ag 0.0000 0.0000 0.5000  4 Ga 2.64



Entry 14:
DFT (GGA-PBE) results for crystalline ThAlGaAg at its relaxed geometry.

Calculated values
calculated density	8401	kg/m³
calculated formation energy	-4.2	kcal/mol of atoms

Cell lengths 4.9602, 4.9602, 4.9602 Å; angles 60.00, 60.00, 60.00 degrees
With the nearest neighbours (Å) after each atom.
Fractional positions:
Th 0.0000 0.0000 0.0000  4 Ga 3.04, 4 Ag 3.04
Al 0.5000 0.5000 0.5000  4 Ga 3.04, 4 Ag 3.04
Ga 0.7500 0.7500 0.7500  4 Al 3.04, 4 Th 3.04
Ag 0.2500 0.2500 0.2500  4 Th 3.04, 4 Al 3.04



Entry 15:
DFT (GGA-PBE) results for crystalline AlTlGa2Ag at its relaxed geometry.

Calculated values
calculated density	5137	kg/m³
calculated formation energy	18.7	kcal/mol of atoms

Cell lengths 5.3690, 5.3690, 5.3682 Å; angles 90.00, 90.00, 90.00 degrees
With the nearest neighbours (Å) after each atom.
Fractional positions:
Al 0.0000 0.0000 0.0000  2 Tl 2.68
Tl 0.0000 0.0000 0.5000  2 Al 2.68, 4 Ga 2.68
Ga 0.0000 0.5000 0.5000  2 Tl 2.68
Ga 0.5000 0.0000 0.5000  2 Tl 2.68
Ag 0.5000 0.5000 0.0000  8 Ga 3.80, 4 Al 3.80



Entry 16:
DFT (GGA-PBE) results for crystalline Tm4AlGaAg2 at its relaxed geometry.

Calculated values
calculated density	8955	kg/m³
calculated formation energy	-9.6	kcal/mol of atoms

Cell lengths 8.7500, 8.7500, 8.7500 Å; angles 33.65, 33.65, 33.65 degrees
With the nearest neighbours (Å) after each atom.
Fractional positions:
Tm 0.1233 0.1233 0.1233  4 Ag 3.04-3.06, 1 Ga 3.05, 3 Al 3.12
Tm 0.3735 0.3735 0.3735  3 Ga 3.09, 1 Al 3.13, 4 Ag 3.15
Tm 0.6265 0.6265 0.6265  3 Ga 3.09, 1 Al 3.13, 4 Ag 3.15
Tm 0.8767 0.8767 0.8767  4 Ag 3.04-3.06, 1 Ga 3.05, 3 Al 3.12
Al 0.5000 0.5000 0.5000  8 Tm 3.12-3.13
Ga 0.0000 0.0000 0.0000  8 Tm 3.05-3.09
Ag 0.2460 0.2460 0.2460  8 Tm 3.04-3.15
Ag 0.7540 0.7540 0.7540  8 Tm 3.04-3.15



Entry 17:
DFT (GGA-PBE) results for crystalline TmAlGaAg at its relaxed geometry.

Calculated values
calculated density	7971	kg/m³
calculated formation energy	-7.4	kcal/mol of atoms

Cell lengths 4.7920, 4.7920, 4.7920 Å; angles 60.00, 60.00, 60.00 degrees
With the nearest neighbours (Å) after each atom.
Fractional positions:
Tm 0.0000 0.0000 0.0000  4 Ag 2.93, 4 Ga 2.93
Al 0.5000 0.5000 0.5000  4 Ag 2.93, 4 Ga 2.93
Ga 0.7500 0.7500 0.7500  4 Al 2.93, 4 Tm 2.93
Ag 0.2500 0.2500 0.2500  4 Al 2.93, 4 Tm 2.93



Entry 18:
DFT (GGA-PBE) results for crystalline YAlGa2Ag at its relaxed geometry.

Calculated values
calculated density	6234	kg/m³
calculated formation energy	-10.2	kcal/mol of atoms

Cell lengths 6.3176, 6.3176, 6.3176 Å; angles 141.56, 141.56, 55.50 degrees
With the nearest neighbours (Å) after each atom.
Fractional positions:
Y 0.0000 0.0000 0.0000  8 Ga 3.18, 4 Al 3.48, 4 Ag 3.48
Al 0.7500 0.2500 0.5000  4 Ga 2.62
Ga 0.3920 0.3920 0.0000  1 Ga 2.42, 2 Ag 2.62, 2 Al 2.62
Ga 0.6080 0.6080 0.0000  1 Ga 2.42, 2 Al 2.62, 2 Ag 2.62
Ag 0.2500 0.7500 0.5000  4 Ga 2.62



Entry 19:
DFT (GGA-PBE) results for crystalline Y4AlGaAg2 at its relaxed geometry.

Calculated values
calculated density	5763	kg/m³
calculated formation energy	-9.9	kcal/mol of atoms

Cell lengths 8.9008, 8.9008, 8.9008 Å; angles 33.61, 33.61, 33.61 degrees
With the nearest neighbours (Å) after each atom.
Fractional positions:
Y 0.1234 0.1234 0.1234  4 Ag 3.09-3.11, 1 Ga 3.11, 3 Al 3.16
Y 0.3736 0.3736 0.3736  3 Ga 3.14, 1 Al 3.18, 4 Ag 3.20-3.21
Y 0.6264 0.6264 0.6264  3 Ga 3.14, 1 Al 3.18, 4 Ag 3.20-3.21
Y 0.8766 0.8766 0.8766  4 Ag 3.09-3.11, 1 Ga 3.11, 3 Al 3.16
Al 0.5000 0.5000 0.5000  8 Y 3.16-3.18
Ga 0.0000 0.0000 0.0000  8 Y 3.11-3.14
Ag 0.2463 0.2463 0.2463  8 Y 3.09-3.21
Ag 0.7537 0.7537 0.7537  8 Y 3.09-3.21



Entry 20:
DFT (GGA-PBE) results for crystalline YAl2Ga2Ag at its relaxed geometry.

Calculated values
calculated density	5701	kg/m³
calculated formation energy	-7.2	kcal/mol of atoms

Cell lengths 4.4401, 4.4401, 6.6567 Å; angles 90.00, 90.00, 120.00 degrees
With the nearest neighbours (Å) after each atom.
Fractional positions:
Y 0.0000 0.0000 0.0000  6 Ga 3.03, 6 Al 3.28, 2 Ag 3.33
Al 0.3333 0.6667 0.3085  3 Ga 2.60, 3 Ag 2.86
Al 0.6667 0.3333 0.6915  3 Ga 2.60, 3 Ag 2.86
Ga 0.3333 0.6667 0.7569  3 Al 2.60
Ga 0.6667 0.3333 0.2431  3 Al 2.60
Ag 0.0000 0.0000 0.5000  6 Al 2.86, 6 Ga 3.08